Record 1
A geometry-optimized SiRh structure, computed with PBEsol.

Properties
Space-group type: C2/m, No. 12

abc: 2.995 4.149 4.518
angles: 103.20 109.36 90.00
Sites, in units of the cell vectors:
Rh: 0.386 0.201 0.772
Rh: 0.614 0.799 0.228
Si: 0.879 0.681 0.757
Si: 0.121 0.319 0.243

Record 2
A geometry-optimized Si3Rh4 structure, computed with PBEsol.

Properties
Space-group type: P6/mmm, No. 191

abc: 4.600 4.600 4.984
angles: 90.00 90.00 120.00
Sites, in units of the cell vectors:
Rh: 0.000 0.000 0.748
Si: 0.000 0.500 0.000
Rh: 0.000 0.000 0.252
Rh: 0.333 0.667 0.500
Si: 0.500 0.000 0.000
Rh: 0.667 0.333 0.500
Si: 0.500 0.500 0.000

no.,E_form (uncorrected) (eV/atom),theoretical density (Mg/m³)
1,-0.82,8.5
2,0.02,9.0